A plane-wave DFT calculation with GGA+U was carried out for MgTlMoF6 after structural relaxation.

Cell: 5.581 5.581 11.986 Å, 90.00 90.00 120.00°
Positions (direct):
Mg 0.333 0.667 0.250
Mg 0.667 0.333 0.750
Tl 0.000 0.000 0.000
Tl 0.000 0.000 0.500
Mo 0.333 0.667 0.750
Mo 0.667 0.333 0.250
F 0.010 0.377 0.159
F 0.010 0.633 0.341
F 0.367 0.377 0.341
F 0.367 0.990 0.159
F 0.377 0.010 0.659
F 0.377 0.367 0.841
F 0.623 0.633 0.159
F 0.623 0.990 0.341
F 0.633 0.010 0.841
F 0.633 0.623 0.659
F 0.990 0.367 0.659
F 0.990 0.623 0.841

Results
Total energy ... -93.87 eV/cell